Record 1
DFT (PBE) results for Ba3Sr2Ca7 after structural relaxation.

Results
crystal system = monoclinic
final energy = -22.05 eV/f.u.
E_form = 0.091 eV/atom
magnetization = 0.00 μB per cell

Cell lengths 4.114, 6.649, 22.065 Å; angles 94.21, 90.00, 90.00 degrees
Element x y z (fractional)
Ca 0.000 0.321 0.860
Ca 0.500 0.260 0.540
Ca 0.500 0.740 0.460
Ca 0.500 0.821 0.832
Ca 0.000 0.000 0.000
Ca 0.500 0.179 0.168
Ca 0.000 0.679 0.140
Ba 0.000 0.218 0.368
Ba 0.500 0.500 0.000
Ba 0.000 0.782 0.632
Sr 0.500 0.700 0.287
Sr 0.500 0.300 0.713



Record 2
DFT (PBE) results for AcGdP2 after structural relaxation.

Results
crystal system = cubic
final energy = -33.32 eV/f.u.
E_form = -1.077 eV/atom
magnetization = 6.93 μB per cell
relative energy among the computed polymorphs = 0.417 eV per atom

Cell lengths 5.150, 5.150, 5.150 Å; angles 60.00, 60.00, 60.00 degrees
Last column: magnetic moment on the atom in μB.
Element x y z (fractional)
Ac 0.500 0.500 0.500  0.01
P 0.750 0.750 0.750  -0.04
P 0.250 0.250 0.250  -0.04
Gd 0.000 0.000 0.000  6.94



Record 3
DFT (PBE) results for TlRe5 after structural relaxation.

Results
crystal system = cubic
final energy = -59.88 eV/f.u.
E_form = 0.787 eV/atom
magnetization = 0.00 μB per cell
relative energy among the computed polymorphs = 0.378 eV per atom

Cell lengths 5.219, 5.219, 5.219 Å; angles 60.00, 60.00, 60.00 degrees
Element x y z (fractional)
Tl 0.000 0.000 0.000
Re 0.250 0.250 0.250
Re 0.626 0.626 0.626
Re 0.626 0.123 0.626
Re 0.123 0.626 0.626
Re 0.626 0.626 0.123



Record 4
DFT (PBE) results for Ba3AcAu4 after structural relaxation.

Results
crystal system = cubic
final energy = -28.46 eV/f.u.
E_form = -0.684 eV/atom
magnetization = 0.00 μB per cell

Cell lengths 6.919, 6.919, 6.919 Å; angles 109.47, 109.47, 109.47 degrees
Element x y z (fractional)
Au 0.500 0.500 0.500
Au 0.000 0.500 0.000
Au 0.000 0.000 0.500
Au 0.500 0.000 0.000
Ba 0.000 0.500 0.500
Ba 0.500 0.500 0.000
Ba 0.500 0.000 0.500
Ac 0.000 0.000 0.000



Record 5
DFT (PBE) results for La2Mn after structural relaxation.

Results
crystal system = orthorhombic
final energy = -18.01 eV/f.u.
E_form = 0.339 eV/atom
magnetization = 3.60 μB per cell

Cell lengths 3.721, 6.980, 7.049 Å; angles 90.00, 90.00, 90.00 degrees
Last column: magnetic moment on the atom in μB.
Element x y z (fractional)
Mn 0.000 0.000 0.000  2.41
Mn 0.500 0.500 0.500  2.41
La 0.500 0.821 0.281  -0.16
La 0.500 0.179 0.719  -0.16
La 0.000 0.679 0.781  -0.16
La 0.000 0.321 0.219  -0.16



Record 6
DFT (PBE) results for Cd4AsIr after structural relaxation.

Results
crystal system = cubic
final energy = -14.45 eV/f.u.
E_form = 0.453 eV/atom
magnetization = 0.00 μB per cell

Cell lengths 5.545, 5.545, 5.545 Å; angles 60.00, 60.00, 60.00 degrees
Element x y z (fractional)
Ir 0.750 0.750 0.750
As 0.000 0.000 0.000
Cd 0.375 0.375 0.874
Cd 0.874 0.375 0.375
Cd 0.375 0.375 0.375
Cd 0.375 0.874 0.375



Record 7
DFT (PBE) results for PrInGe2Rh5 after structural relaxation.

Results
crystal system = tetragonal
final energy = -56.75 eV/f.u.
E_form = -0.360 eV/atom
magnetization = 0.00 μB per cell

Cell lengths 4.663, 4.663, 7.435 Å; angles 90.00, 90.00, 90.00 degrees
Element x y z (fractional)
Rh 0.000 0.500 0.775
Rh 0.000 0.500 0.225
Rh 0.500 0.000 0.225
Rh 0.500 0.500 0.500
Rh 0.500 0.000 0.775
Pr 0.000 0.000 0.500
In 0.000 0.000 0.000
Ge 0.500 0.500 0.829
Ge 0.500 0.500 0.171



Record 8
DFT (PBE) results for PrLuIn2 after structural relaxation.

Results
crystal system = tetragonal
final energy = -16.58 eV/f.u.
E_form = -0.452 eV/atom
magnetization = 0.01 μB per cell
relative energy among the computed polymorphs = 0.000 eV per atom

Cell lengths 3.789, 3.789, 7.646 Å; angles 90.00, 90.00, 90.00 degrees
Element x y z (fractional)
In 0.000 0.000 0.771
In 0.000 0.000 0.229
Lu 0.500 0.500 0.000
Pr 0.500 0.500 0.500



Record 9
DFT (PBE) results for YPb2C2 after structural relaxation.

Results
crystal system = tetragonal
final energy = -24.03 eV/f.u.
E_form = 1.660 eV/atom
magnetization = 0.67 μB per cell
relative energy among the computed polymorphs = 0.284 eV per atom

Cell lengths 7.859, 7.859, 3.476 Å; angles 90.00, 90.00, 90.00 degrees
Last column: magnetic moment on the atom in μB.
Element x y z (fractional)
Pb 0.629 0.129 0.000  0.01
Pb 0.129 0.371 0.000  0.01
Pb 0.371 0.871 0.000  0.01
Pb 0.871 0.629 0.000  0.01
C 0.234 0.734 0.500  0.00
C 0.766 0.266 0.500  0.00
C 0.734 0.766 0.500  0.00
C 0.266 0.234 0.500  0.00
Y 0.500 0.500 0.000  0.18
Y 0.000 0.000 0.000  0.18



Record 10
DFT (PBE) results for Tb6Ge2BiTe3 after structural relaxation.

Results
crystal system = monoclinic
final energy = -64.57 eV/f.u.
magnetization = 0.00 μB per cell

Cell lengths 4.318, 8.748, 9.718 Å; angles 103.14, 102.84, 90.00 degrees
Element x y z (fractional)
Te 0.163 0.834 0.325
Te 0.837 0.166 0.675
Te 0.500 0.500 0.000
Ge 0.832 0.664 0.663
Ge 0.168 0.336 0.337
Tb 0.330 0.889 0.661
Tb 0.988 0.744 0.976
Tb 0.674 0.568 0.348
Tb 0.012 0.256 0.024
Tb 0.670 0.111 0.339
Tb 0.326 0.432 0.652
Bi 0.500 0.000 0.000



Record 11
DFT (PBE) results for RuWCl2 after structural relaxation.

Results
crystal system = tetragonal
final energy = -20.98 eV/f.u.
magnetization = 1.12 μB per cell
relative energy among the computed polymorphs = 1.433 eV per atom

Cell lengths 4.790, 4.790, 4.790 Å; angles 130.22, 130.22, 73.06 degrees
Last column: magnetic moment on the atom in μB.
Element x y z (fractional)
Cl 0.000 0.000 0.000  0.05
Cl 0.500 0.500 0.000  0.05
Ru 0.250 0.750 0.500  1.29
W 0.750 0.250 0.500  -0.29



Record 12
DFT (PBE) results for TbSmHg3 after structural relaxation.

Results
crystal system = hexagonal
final energy = -11.27 eV/f.u.
E_form = -0.203 eV/atom
magnetization = 0.00 μB per cell
relative energy among the computed polymorphs = 0.210 eV per atom

Cell lengths 6.761, 7.068, 7.068 Å; angles 120.00, 90.00, 90.00 degrees
Element x y z (fractional)
Tb 0.500 0.000 0.000
Tb 0.000 0.000 0.000
Hg 0.250 0.801 0.199
Hg 0.250 0.801 0.603
Hg 0.250 0.397 0.199
Hg 0.750 0.199 0.801
Hg 0.750 0.603 0.801
Hg 0.750 0.199 0.397
Sm 0.250 0.334 0.666
Sm 0.750 0.666 0.334